1.
{
  "formula": "Cu7Pt4",
  "functional": "GGA-PBEsol",
  "state": "relaxed",
  "e_form_ev_per_atom": -0.099,
  "total_magnetization_mub_per_fu": 0.00,
  "dft_energy_ev_per_atom": -5.389,
  "cell": [[4.502, 0.005, -0.007], [-0.752, 4.517, 0.002], [-0.018, -0.749, 6.946]],
  "species": ["Cu", "Cu", "Cu", "Cu", "Cu", "Cu", "Cu", "Pt", "Pt", "Pt", "Pt"],
  "fractional_positions": [[0.548, 0.768, 0.589], [0.642, 0.318, 0.769], [0.358, 0.682, 0.231], [0.272, 0.133, 0.047], [0.000, 0.500, 0.500], [0.452, 0.232, 0.411], [0.728, 0.867, 0.953], [0.096, 0.045, 0.681], [0.196, 0.593, 0.864], [0.904, 0.955, 0.319], [0.804, 0.407, 0.136]]
}

2.
{
  "formula": "In2FeTcIr",
  "functional": "GGA-PBEsol",
  "state": "relaxed",
  "e_form_ev_per_atom": 1.341,
  "total_magnetization_mub_per_fu": 7.00,
  "dft_energy_ev_per_atom": -5.863,
  "cell": [[4.667, 0.000, 0.000], [0.000, 4.960, 0.000], [0.000, 0.000, 4.960]],
  "species": ["In", "In", "Fe", "Tc", "Ir"],
  "fractional_positions": [[0.000, 0.500, 0.000], [0.000, 0.000, 0.500], [0.500, 0.000, 0.000], [0.500, 0.500, 0.500], [0.000, 0.000, 0.000]]
}

3.
{
  "formula": "YTlCl2",
  "functional": "GGA-PBEsol",
  "state": "relaxed",
  "total_magnetization_mub_per_fu": 0.00,
  "e_form_raw_ev_per_atom": -1.011,
  "relative_energy_mev_per_atom": 216,
  "dft_energy_ev_per_atom": -4.378,
  "cell": [[3.769, 0.000, 0.000], [1.884, 3.264, 0.000], [1.884, 1.088, 9.700]],
  "species": ["Tl", "Cl", "Cl", "Y"],
  "fractional_positions": [[0.500, 0.500, 0.500], [0.087, 0.087, 0.739], [0.913, 0.913, 0.261], [0.000, 0.000, 0.000]]
}

4.
{
  "formula": "OsRh3",
  "functional": "GGA-PBEsol",
  "state": "relaxed",
  "e_form_ev_per_atom": 0.070,
  "total_magnetization_mub_per_fu": 0.00,
  "dft_energy_ev_per_atom": -9.088,
  "cell": [[4.313, 0.000, 0.000], [0.000, 5.394, 0.000], [0.000, -2.697, 4.672]],
  "species": ["Os", "Os", "Rh", "Rh", "Rh", "Rh", "Rh", "Rh"],
  "fractional_positions": [[0.750, 0.667, 0.333], [0.250, 0.333, 0.667], [0.250, 0.832, 0.168], [0.750, 0.168, 0.336], [0.250, 0.336, 0.168], [0.750, 0.664, 0.832], [0.250, 0.832, 0.664], [0.750, 0.168, 0.832]]
}